[1]
Sr2InPd2: single point on PBEsol structure, SCAN.

a = 10.3037 Å, b = 5.9774 Å, c = 8.2846 Å
α = 90.00°, β = 103.65°, γ = 90.00°
Closest atoms and distances in Å follow each position.
Space group C2/c (No. 15)
Inequivalent atoms, fractional coordinates:
Sr 0.1481 0.1404 0.1472 (multiplicity 8)  6 Pd 3.17-3.27, 3 In 3.52-3.55
In 0.0000 0.3649 0.7500 (multiplicity 4)  4 Pd 2.73-2.75
Pd 0.1343 0.3634 0.5029 (multiplicity 8)  2 In 2.73-2.75, 1 Pd 2.75

Computed properties:
D(E_F) (states/eV/f.u.): 1.6
Theoretical density (g/cm³): 6.74
Formation energy (kJ per mole of atoms): -71

[2]
Y2MnAl: single point on PBEsol structure, SCAN.

a = 4.5280 Å, b = 3.5069 Å, c = 11.4083 Å
α = 90.00°, β = 90.00°, γ = 90.00°
Closest atoms and distances in Å follow each position.
Space group Amm2 (No. 38)
Inequivalent atoms, fractional coordinates:
Y 0.0000 0.0000 0.0000 (multiplicity 2)  3 Al 3.02-3.25, 4 Mn 3.04
Y 0.5000 0.0000 0.3039 (multiplicity 2)  3 Mn 3.00-3.27, 4 Al 3.04
Mn 0.5000 0.0000 0.5902 (multiplicity 2)  2 Al 2.68
Al 0.0000 0.0000 0.7151 (multiplicity 2)  2 Mn 2.68

Computed properties:
D(E_F) (states/eV/f.u.): 3.5
Theoretical density (g/cm³): 4.76
Formation energy (kJ per mole of atoms): -28

[3]
LaTaTl2: single point on PBEsol structure, SCAN.

a = 10.5459 Å, b = 3.2329 Å, c = 5.8251 Å
α = 90.00°, β = 101.36°, γ = 90.00°
Closest atoms and distances in Å follow each position.
Space group C2/m (No. 12)
Inequivalent atoms, fractional coordinates:
La 0.0000 0.0000 0.0000 (multiplicity 2)  2 La 3.23, 6 Tl 3.25-3.34, 4 Ta 3.33
Ta 0.0000 0.5000 0.5000 (multiplicity 2)  6 Tl 3.05-3.27, 2 Ta 3.23, 4 La 3.33
Tl 0.2379 0.0000 0.7194 (multiplicity 4)  3 Ta 3.05-3.27, 4 Tl 3.08-3.23, 3 La 3.25-3.34

Computed properties:
D(E_F) (states/eV/f.u.): 3.0
Theoretical density (g/cm³): 12.43
Formation energy (kJ per mole of atoms): 21